1.
Li2TaRu: relaxed, PBE.

Cell lengths 6.9976, 6.9976, 5.5200 Å; angles 50.67, 50.67, 90.00 degrees
Sites, in units of the cell vectors:
Ru1 0.5000 0.5000 0.0000
Ru2 0.2500 0.7500 0.5000
Li1 0.6020 0.1250 0.2500
Li2 0.1480 0.6250 0.2500
Li3 0.3750 0.3980 0.7500
Li4 0.8750 0.8520 0.7500
Ta1 0.0000 0.0000 0.0000
Ta2 0.7500 0.2500 0.5000

- SG: I-42d, No. 122
- Energy relative to the lowest polymorph listed for this composition: 592 meV per atom
- Energy relative to the elements: 0.681 eV per atom
- Volume: 119.82 Å³/cell
- N(E_F): 0.832 states/eV/atom
- Final energy: -5.56 eV/atom

2.
YTeS3: relaxed, PBE.

Cell lengths 5.2742, 7.2205, 13.3471 Å; angles 90.00, 92.17, 90.00 degrees
Sites, in units of the cell vectors:
Y1 0.8966 0.5731 0.2542
Y2 0.6034 0.0731 0.2458
Y3 0.1034 0.4269 0.7458
Y4 0.3966 0.9269 0.7542
Te1 0.3192 0.6218 0.0507
Te2 0.1808 0.1218 0.4493
Te3 0.6808 0.3782 0.9493
Te4 0.8192 0.8782 0.5507
S1 0.1883 0.6978 0.6015
S2 0.3117 0.1978 0.8985
S3 0.8117 0.3022 0.3985
S4 0.6883 0.8022 0.1015
S5 0.8902 0.0770 0.7521
S6 0.6098 0.5770 0.7479
S7 0.1098 0.9230 0.2479
S8 0.3902 0.4230 0.2521
S9 0.6174 0.7741 0.3940
S10 0.8826 0.2741 0.1060
S11 0.3826 0.2259 0.6060
S12 0.1174 0.7259 0.8940

- SG: P2_1/c, No. 14
- Energy relative to the lowest polymorph listed for this composition: 0 meV per atom
- Volume: 507.93 Å³/cell
- Final energy: -5.29 eV/atom

3.
Ac2Mg2Cd: relaxed, PBE.

Cell lengths 4.0128, 6.9766, 6.9766 Å; angles 61.90, 73.29, 73.29 degrees
Sites, in units of the cell vectors:
Ac1 0.2303 0.2697 0.2697
Ac2 0.7697 0.7303 0.7303
Mg1 0.5000 0.2904 0.7096
Mg2 0.5000 0.7096 0.2904
Cd1 0.0000 0.0000 0.0000

- SG: Immm, No. 71
- Energy relative to the lowest polymorph listed for this composition: 13 meV per atom
- Energy relative to the elements: -0.095 eV per atom
- Volume: 162.31 Å³/cell
- N(E_F): 1.080 states/eV/atom
- Final energy: -2.56 eV/atom

4.
KIn4Pt: relaxed, PBE.

Cell lengths 6.0756, 6.0756, 6.0756 Å; angles 60.00, 60.00, 60.00 degrees
Sites, in units of the cell vectors:
K1 0.7500 0.7500 0.7500
In1 0.3742 0.8774 0.3742
In2 0.8774 0.3742 0.3742
In3 0.3742 0.3742 0.8774
In4 0.3742 0.3742 0.3742
Pt1 0.0000 0.0000 0.0000

- SG: F-43m, No. 216
- Energy relative to the lowest polymorph listed for this composition: 464 meV per atom
- Energy relative to the elements: 0.183 eV per atom
- Volume: 158.58 Å³/cell
- N(E_F): 0.485 states/eV/atom
- Final energy: -2.83 eV/atom

5.
InNiHg2: relaxed, PBE.

Cell lengths 4.9957, 4.9957, 6.7448 Å; angles 68.74, 68.74, 35.03 degrees
Sites, in units of the cell vectors:
Hg1 0.0786 0.0786 0.9841
Hg2 0.2712 0.2712 0.2657
In1 0.4389 0.4389 0.6249
Ni1 0.7112 0.7112 0.6253

- SG: Cm, No. 8
- Energy relative to the elements: 0.112 eV per atom
- Volume: 89.36 Å³/cell
- N(E_F): 0.490 states/eV/atom
- Final energy: -2.17 eV/atom

6.
TiAl3I: relaxed, PBE.

Cell lengths 5.3038, 5.3038, 5.3038 Å; angles 90.00, 90.00, 90.00 degrees
Each line ends with the local moment (μB).
Sites, in units of the cell vectors:
I1 0.5000 0.5000 0.5000  0.19
Al1 0.0000 0.5000 0.0000  0.09
Al2 0.0000 0.0000 0.5000  0.08
Al3 0.5000 0.0000 0.0000  0.09
Ti1 0.0000 0.0000 0.0000  1.73

- SG: Pm-3m, No. 221
- Energy relative to the lowest polymorph listed for this composition: 0 meV per atom
- Volume: 149.20 Å³/cell
- N(E_F): 1.478 states/eV/atom
- Final energy: -3.38 eV/atom

7.
Na2MgFeH6: relaxed, PBE.

Cell lengths 5.0198, 5.0222, 7.1025 Å; angles 90.00, 90.00, 90.00 degrees
Each line ends with the local moment (μB).
Sites, in units of the cell vectors:
Na1 0.5000 0.7501 0.2500  0.00
Na2 0.0000 0.2499 0.7500  0.00
Na3 0.5000 0.7501 0.7500  0.00
Na4 0.0000 0.2499 0.2500  0.00
Mg1 0.0000 0.7497 0.5000  0.00
Mg2 0.5000 0.2503 0.0000  0.00
Fe1 0.5000 0.2496 0.5000  -0.12
Fe2 0.0000 0.7504 0.0000  -0.12
H1 0.5000 0.2494 0.2721  0.00
H2 0.5000 0.2494 0.7279  0.00
H3 0.0000 0.7506 0.2279  0.00
H4 0.0000 0.7506 0.7721  0.00
H5 0.2723 0.0214 0.5000  0.00
H6 0.7277 0.0214 0.5000  0.00
H7 0.2718 0.4774 0.5000  0.00
H8 0.7282 0.4774 0.5000  0.00
H9 0.7718 0.5226 0.0000  0.00
H10 0.2282 0.5226 0.0000  0.00
H11 0.2277 0.9786 0.0000  0.00
H12 0.7723 0.9786 0.0000  0.00

- SG: Fm-3m, No. 225
- Volume: 179.06 Å³/cell
- N(E_F): 0.057 states/eV/atom
- Final energy: -3.44 eV/atom

8.
LiSn2Pd2: relaxed, PBE.

Cell lengths 4.6066, 4.6066, 6.2752 Å; angles 68.47, 68.47, 90.00 degrees
Sites, in units of the cell vectors:
Sn1 0.7500 0.2500 0.5000
Sn2 0.2500 0.7500 0.5000
Pd1 0.3777 0.3777 0.2446
Pd2 0.6223 0.6223 0.7554
Li1 0.0000 0.0000 0.0000

- SG: I4/mmm, No. 139
- Energy relative to the lowest polymorph listed for this composition: 296 meV per atom
- Energy relative to the elements: -0.268 eV per atom
- Volume: 113.82 Å³/cell
- N(E_F): 0.355 states/eV/atom
- Final energy: -4.33 eV/atom

9.
Ce3Ga5O12: relaxed, PBE.

Cell lengths 10.9926, 10.9926, 10.9926 Å; angles 109.47, 109.47, 109.47 degrees
Each line ends with the local moment (μB).
Sites, in units of the cell vectors:
Ce1 0.7500 0.3750 0.1250  0.91
Ce2 0.8750 0.7500 0.1250  0.91
Ce3 0.3750 0.7500 0.6250  0.91
Ce4 0.2500 0.1250 0.3750  0.91
Ce5 0.8750 0.1250 0.2500  0.91
Ce6 0.3750 0.6250 0.2500  0.91
Ce7 0.6250 0.3750 0.7500  0.91
Ce8 0.1250 0.8750 0.7500  0.91
Ce9 0.7500 0.8750 0.6250  0.91
Ce10 0.6250 0.2500 0.3750  0.91
Ce11 0.1250 0.2500 0.8750  0.91
Ce12 0.2500 0.6250 0.8750  0.91
Ga1 0.1250 0.3750 0.2500  0.00
Ga2 0.0000 0.5000 0.0000  0.01
Ga3 0.0000 0.0000 0.0000  0.01
Ga4 0.3750 0.2500 0.1250  0.00
Ga5 0.5000 0.0000 0.5000  0.01
Ga6 0.5000 0.5000 0.0000  0.01
Ga7 0.1250 0.7500 0.3750  0.00
Ga8 0.7500 0.1250 0.8750  0.00
Ga9 0.7500 0.6250 0.3750  0.00
Ga10 0.3750 0.1250 0.7500  0.00
Ga11 0.6250 0.8750 0.2500  0.00
Ga12 0.5000 0.5000 0.5000  0.01
Ga13 0.5000 0.0000 0.0000  0.01
Ga14 0.0000 0.0000 0.5000  0.01
Ga15 0.2500 0.3750 0.6250  0.00
Ga16 0.2500 0.8750 0.1250  0.00
Ga17 0.0000 0.5000 0.5000  0.01
Ga18 0.8750 0.2500 0.6250  0.00
Ga19 0.6250 0.7500 0.8750  0.00
Ga20 0.8750 0.6250 0.7500  0.00
O1 0.7008 0.1194 0.0222  -0.01
O2 0.3214 0.5222 0.4028  -0.01
O3 0.9778 0.3806 0.2992  -0.01
O4 0.5222 0.2008 0.1194  -0.01
O5 0.5813 0.7008 0.6786  -0.01
O6 0.9778 0.5972 0.1786  -0.01
O7 0.3214 0.7992 0.4187  -0.01
O8 0.0972 0.9187 0.1194  -0.01
O9 0.5972 0.9778 0.6786  -0.01
O10 0.7008 0.5813 0.1786  -0.01
O11 0.7992 0.4778 0.3806  -0.01
O12 0.8214 0.9028 0.0222  -0.01
O13 0.1194 0.7008 0.5222  -0.01
O14 0.3806 0.4028 0.0813  -0.01
O15 0.0813 0.9028 0.3806  -0.01
O16 0.4187 0.1194 0.5972  -0.01
O17 0.0813 0.1786 0.2008  -0.01
O18 0.4778 0.6786 0.0972  -0.01
O19 0.8214 0.9187 0.2992  -0.01
O20 0.1194 0.4187 0.0972  -0.01
O21 0.3806 0.9778 0.7992  -0.01
O22 0.5972 0.6194 0.4187  -0.01
O23 0.9028 0.8214 0.5222  -0.01
O24 0.7992 0.3214 0.9187  -0.01
O25 0.4028 0.3806 0.5813  -0.01
O26 0.0972 0.1786 0.4778  -0.01
O27 0.2008 0.6786 0.0813  -0.01
O28 0.1786 0.0813 0.7008  -0.01
O29 0.6194 0.0222 0.2008  -0.01
O30 0.8806 0.5813 0.9028  -0.01
O31 0.5222 0.3214 0.9028  -0.01
O32 0.5813 0.8806 0.4028  -0.01
O33 0.9187 0.8214 0.7992  -0.01
O34 0.9187 0.0972 0.6194  -0.01
O35 0.8806 0.2992 0.4778  -0.01
O36 0.1786 0.0972 0.9778  -0.01
O37 0.6194 0.5972 0.9187  -0.01
O38 0.4028 0.0222 0.3214  -0.01
O39 0.2992 0.4187 0.8214  -0.01
O40 0.2008 0.5222 0.6194  -0.01
O41 0.9028 0.0813 0.8806  -0.01
O42 0.6786 0.2008 0.5813  -0.01
O43 0.4778 0.7992 0.8806  -0.01
O44 0.0222 0.4028 0.8214  -0.01
O45 0.4187 0.2992 0.3214  -0.01
O46 0.0222 0.6194 0.7008  -0.01
O47 0.6786 0.4778 0.5972  -0.01
O48 0.2992 0.8806 0.9778  -0.01

- SG: Ia-3d, No. 230
- Volume: 1022.53 Å³/cell
- N(E_F): 0.820 states/eV/atom
- Final energy: -7.06 eV/atom

10.
ZrSe8: relaxed, PBE.

Cell lengths 6.6426, 6.6426, 6.6426 Å; angles 99.18, 99.18, 132.93 degrees
Sites, in units of the cell vectors:
Zr1 0.0000 0.0000 0.0000
Se1 0.6499 0.6499 0.2998
Se2 0.3501 0.3501 0.7002
Se3 0.0000 0.3186 0.3186
Se4 0.3501 0.6499 0.0000
Se5 0.6814 0.0000 0.6814
Se6 0.6499 0.3501 0.0000
Se7 0.0000 0.6814 0.6814
Se8 0.3186 0.0000 0.3186

- SG: I4/mmm, No. 139
- Volume: 196.75 Å³/cell
- N(E_F): 0.776 states/eV/atom
- Final energy: -3.95 eV/atom

11.
Tm4GaHg: relaxed, PBE.

Cell lengths 4.9465, 4.9472, 7.0604 Å; angles 90.00, 90.00, 90.00 degrees
Sites, in units of the cell vectors:
Tm1 0.5012 0.9971 0.2508
Tm2 0.5013 0.9974 0.7453
Tm3 0.0014 0.4974 0.7454
Tm4 0.0012 0.4971 0.2510
Ga1 0.0013 0.9973 0.4982
Hg1 0.5013 0.4972 0.9981

- SG: P4/mmm, No. 123
- Energy relative to the elements: -0.179 eV per atom
- Volume: 172.77 Å³/cell
- N(E_F): 1.103 states/eV/atom
- Final energy: -3.71 eV/atom

12.
CaP2ClF: relaxed, PBE.

Cell lengths 5.9199, 5.9199, 5.1223 Å; angles 90.00, 90.00, 90.00 degrees
Each line ends with the local moment (μB).
Sites, in units of the cell vectors:
P1 0.0000 0.5000 0.0000  0.98
P2 0.5000 0.0000 0.0000  0.98
Ca1 0.0000 0.0000 0.0000  0.06
F1 0.5000 0.5000 0.5000  -0.26
Cl1 0.0000 0.0000 0.5000  0.09

- SG: P4/mmm, No. 123
- Energy relative to the lowest polymorph listed for this composition: 865 meV per atom
- Volume: 179.51 Å³/cell
- N(E_F): 1.911 states/eV/atom
- Final energy: -2.97 eV/atom